# PBE with a Hubbard U MoIrC2O, optimized geometry
# - SG: P4/mmm
# - E: -33.252 eV/f.u.
data_MoIrC2O
_chemical_formula_sum 'Mo1 Ir1 C2 O1'
_cell_length_a 3.727
_cell_length_b 5.807
_cell_length_c 3.727
_cell_angle_alpha 90.00
_cell_angle_beta 90.00
_cell_angle_gamma 90.00
_space_group_name_H-M_alt 'P 1'
_space_group_IT_number 1
_space_group_name_Hall 'P 1'
loop_
_atom_site_label
_atom_site_type_symbol
_atom_site_fract_x
_atom_site_fract_y
_atom_site_fract_z
C1 C 0.000 0.000 0.500
O1 O 0.500 0.500 0.500
Ir1 Ir 0.000 0.000 0.000
C2 C 0.500 0.000 0.000
Mo1 Mo 0.000 0.500 0.000